(1)
A relaxed ZnCd2Fe crystal, computed with PBE.

Calculated values
The value obtained for the uncorrected energy is -2.672 eV/atom. The calculated volume comes out at 17.3 A^3/atom.

Cell lengths 10.635, 2.889, 5.010 Å; angles 90.00, 116.16, 90.00 degrees
Space group Cm (No. 8)
Symmetry-distinct sites (fractional):
Zn 0.000 0.000 0.000 (multiplicity 2)
Cd 0.234 0.000 0.851 (multiplicity 2)
Cd 0.460 0.000 0.465 (multiplicity 2)
Fe 0.213 0.500 0.347 (multiplicity 2)

---

(2)
A relaxed Zn2CdFe crystal, computed with PBE.

Calculated values
The value obtained for the uncorrected energy is -2.781 eV/atom. The calculated volume comes out at 15.6 A^3/atom.

Cell lengths 2.917, 4.538, 9.397 Å; angles 90.00, 90.00, 90.00 degrees
Space group Imm2 (No. 44)
Symmetry-distinct sites (fractional):
Zn 0.000 0.000 0.000 (multiplicity 2)
Zn 0.000 0.500 0.244 (multiplicity 2)
Cd 0.000 0.500 0.772 (multiplicity 2)
Fe 0.000 0.000 0.522 (multiplicity 2)

---

(3)
A relaxed ZnCdFe crystal, computed with PBE.

Calculated values
The value obtained for the uncorrected energy is -3.492 eV/atom. The calculated volume comes out at 16.3 A^3/atom. Its distance to the lowest polymorph of the same formula is 0.0 kJ/mol of atoms.

Cell lengths 2.925, 3.204, 10.535 Å; angles 81.60, 89.94, 89.97 degrees
Space group P-1 (No. 2)
Symmetry-distinct sites (fractional):
Zn 0.249 0.156 0.193 (multiplicity 2)
Cd 0.251 0.433 0.624 (multiplicity 2)
Fe 0.250 0.278 0.943 (multiplicity 2)

---

(4)
A relaxed Zn2CdFe crystal, computed with PBE.

Calculated values
The value obtained for the uncorrected energy is -2.577 eV/atom. The calculated volume comes out at 17.4 A^3/atom.

Cell lengths 3.891, 3.891, 18.434 Å; angles 90.00, 90.00, 90.00 degrees
Space group I-42d (No. 122)
Symmetry-distinct sites (fractional):
Zn 0.220 0.250 0.125 (multiplicity 8)
Cd 0.000 0.000 0.500 (multiplicity 4)
Fe 0.000 0.000 0.000 (multiplicity 4)

---

Copy entry 1 word for word.
A relaxed ZnCd2Fe crystal, computed with PBE.

Calculated values
The value obtained for the uncorrected energy is -2.672 eV/atom. The calculated volume comes out at 17.3 A^3/atom.

Cell lengths 10.635, 2.889, 5.010 Å; angles 90.00, 116.16, 90.00 degrees
Space group Cm (No. 8)
Symmetry-distinct sites (fractional):
Zn 0.000 0.000 0.000 (multiplicity 2)
Cd 0.234 0.000 0.851 (multiplicity 2)
Cd 0.460 0.000 0.465 (multiplicity 2)
Fe 0.213 0.500 0.347 (multiplicity 2)

---

> The lowest calculated volume belongs to which entry?

number 2

---

> Which of these has the lowest uncorrected energy?

ZnCdFe

---

> Which value of uncorrected energy does entry 4 give?

-2.577 eV/atom